{
  "formula": "Sc4Ta2Bi3C3",
  "functional": "GGA-PBE",
  "state": "optimized geometry",
  "lattice_angstrom": [[5.0981, -2.9506, 0.0000], [5.0981, 2.9506, 0.0000], [-3.3650, 0.0000, 14.3781]],
  "species": ["Sc", "Sc", "Sc", "Sc", "Sc", "Sc", "Sc", "Sc", "Ta", "Ta", "Ta", "Ta", "Bi", "Bi", "Bi", "Bi", "Bi", "Bi", "C", "C", "C", "C", "C", "C"],
  "frac_coords": [[0.0387, 0.1825, 0.0826], [0.1269, 0.3067, 0.4172], [0.1825, 0.0387, 0.5826], [0.3067, 0.1269, 0.9172], [0.6933, 0.8731, 0.0828], [0.8175, 0.9613, 0.4174], [0.8731, 0.6933, 0.5828], [0.9613, 0.8175, 0.9174], [0.3468, 0.5233, 0.0732], [0.4767, 0.6532, 0.4268], [0.5233, 0.3468, 0.5732], [0.6532, 0.4767, 0.9268], [0.0934, 0.9066, 0.2500], [0.2603, 0.4147, 0.7513], [0.4147, 0.2603, 0.2513], [0.5853, 0.7397, 0.7487], [0.7397, 0.5853, 0.2487], [0.9066, 0.0934, 0.7500], [0.0000, 0.5000, 0.0000], [0.1879, 0.6563, 0.5000], [0.3437, 0.8121, 0.0000], [0.5000, 0.0000, 0.5000], [0.6563, 0.1879, 0.0000], [0.8121, 0.3437, 0.5000]],
  "space_group": "C2/c (15)",
  "total_magnetization_mub_per_cell": 0.02,
  "total_energy_ev_per_atom": -7.937
}